Entry from Alexandria via LeMat-Bulk: CsNb3Al after structural relaxation (PBE).

Cell and atoms, written as POSCAR:
```
CsNb3Al
1.0
5.005 0.000 0.000
0.000 5.005 0.000
0.000 0.000 5.005
Cs Nb Al
1 3 1
Cartesian
0.000 0.000 0.000
0.000 2.502 2.502
2.502 0.000 2.502
2.502 2.502 0.000
2.502 2.502 2.502
```

Its raw total energy is -5.252 eV per atom. The size of the total moment is 0.00 μB/atom. Its polymorph energy (0 for the lowest one) is 0 kJ/mol of formula units. The value obtained for the formation energy is 1.71 eV per atom.